Record 1
GGA-PBE TiMnGa3, relaxed; size of the total moment = 0.00 μB per atom; energy relative to the lowest polymorph listed for this composition = 454 meV/atom; symmetry = No. 221; DFT formation energy = 0.357 eV/atom; E = -4.872 eV/atom
1.0
-3.362 -2.131 2.345
0.567 -3.768 -2.612
3.117 -1.613 3.003
Mn Ga Ti
1 3 1
Direct
0.000 0.000 0.000
0.000 0.500 0.000
0.000 0.000 0.500
0.500 0.000 0.000
0.500 0.500 0.500

Record 2
GGA-PBE RbAc2Pr, relaxed; size of the total moment = 0.00 μB per atom; symmetry = No. 166; DFT formation energy = 0.180 eV/atom; E = -3.311 eV/atom
1.0
-3.127 2.208 -0.990
-3.157 0.135 2.377
3.574 11.902 7.358
Pr Ac Rb
1 2 1
Direct
0.500 0.500 0.500
0.096 0.096 0.713
0.904 0.904 0.287
0.000 0.000 0.000